The following is a DFT calculation (PBE) of a relaxed structure of Li2LaGeRh.

Properties
The calculation puts the energy above the most stable polymorph in this dataset at 74 meV/atom. For the density of states at the Fermi level, the calculation gives 5.5 states/eV per cell. The calculation puts the formation enthalpy at 0 K at -0.2728 eV per atom. The uncorrected energy is -22.1 eV per formula unit. As for the space group: P4/mmm.

Lattice parameters (Å, degrees): 4.601 4.601 4.816 90.00 90.00 90.00
Fractional positions:
1 Li 0.000 0.500 0.000
2 Li 0.500 0.000 0.000
3 La 0.000 0.000 0.500
4 Ge 0.500 0.500 0.000
5 Rh 0.500 0.500 0.500